(1)
Below is a relaxed PmTl5I8 crystal, with properties calculated at the PBE-GGA level.

Cell: 9.080 9.080 9.080 Å, 109.79 109.79 108.83°
Fractional positions:
Pm: 0.250 0.750 0.500
I: 0.112 0.969 0.722
I: 0.458 0.195 0.607
I: 0.247 0.390 0.278
I: 0.610 0.888 0.857
I: 0.588 0.851 0.393
I: 0.149 0.542 0.737
I: 0.031 0.753 0.143
I: 0.805 0.412 0.263
Tl: 0.000 0.125 0.397
Tl: 0.875 0.272 0.875
Tl: 0.728 0.603 0.603
Tl: 0.500 0.500 0.000
Tl: 0.397 0.000 0.125

* space-group type: I-4 (82)
* raw formation energy: -0.84 eV/atom

(2)
Below is a relaxed TmSc2Pd crystal, with properties calculated at the PBE-GGA level.

Cell: 3.581 6.093 8.864 Å, 90.00 90.00 107.11°
Fractional positions:
Sc: 0.365 0.731 0.941
Sc: 0.635 0.269 0.059
Sc: 0.365 0.731 0.559
Sc: 0.635 0.269 0.441
Tm: 0.060 0.120 0.750
Tm: 0.940 0.880 0.250
Pd: 0.761 0.523 0.750
Pd: 0.239 0.477 0.250

* energy of formation: -0.4475 eV per atom
* E above lowest polymorph: 17 meV per atom
* space-group type: Cmcm (63)

(3)
Below is a relaxed LaH2F crystal, with properties calculated at the PBE-GGA level.

Cell: 3.990 3.990 3.990 Å, 60.00 60.00 60.00°
Fractional positions:
La: 0.500 0.500 0.500
F: 0.000 0.000 0.000
H: 0.750 0.750 0.750
H: 0.250 0.250 0.250

* E above lowest polymorph: 125 meV per atom
* space-group type: Fm-3m (225)